## Nd3Bi2 (PBE)

Data for a relaxed Nd3Bi2 crystal.

a = 8.321 Å, b = 8.397 Å, c = 9.741 Å
α = 90.00°, β = 90.00°, γ = 90.00°
Fractional coordinates of all 20 atoms:
1 Nd 0.986 0.879 0.655
2 Nd 0.370 0.750 0.500
3 Nd 0.486 0.621 0.155
4 Nd 0.514 0.379 0.845
5 Nd 0.870 0.750 0.000
6 Nd 0.130 0.250 0.000
7 Nd 0.986 0.621 0.345
8 Nd 0.486 0.879 0.845
9 Nd 0.014 0.121 0.345
10 Nd 0.630 0.250 0.500
11 Nd 0.514 0.121 0.155
12 Nd 0.014 0.379 0.655
13 Bi 0.793 0.114 0.851
14 Bi 0.293 0.114 0.649
15 Bi 0.207 0.614 0.851
16 Bi 0.293 0.386 0.351
17 Bi 0.707 0.614 0.649
18 Bi 0.793 0.386 0.149
19 Bi 0.707 0.886 0.351
20 Bi 0.207 0.886 0.149

Results
Energy above the lowest structure with this stoichiometry = 48 meV per atom
Space-group type = Pbcn (60)
Total moment = 0.000 μB per atom
ΔH_f (0 K) = -0.623 eV/atom